Entry from Alexandria via LeMat-Bulk: an optimized crystal structure of TcCl2 (PBE).

Lattice parameters (Å, degrees): 14.0543 14.0543 14.0543 167.27 167.27 18.04
Element x y z (fractional)
1 Cl 0.4455 0.4455 0.0000
2 Cl 0.3045 0.8045 0.5000
3 Cl 0.5545 0.5545 0.0000
4 Cl 0.1955 0.6955 0.5000
5 Tc 0.0000 0.0000 0.0000
6 Tc 0.7500 0.2500 0.5000

Output
**E_form (uncorrected)**: 208 meV per atom

=====

Entry from Alexandria via LeMat-Bulk: an optimized crystal structure of Er4MnIn (PBE).

Lattice parameters (Å, degrees): 5.9010 7.8257 7.8257 112.43 99.72 99.72
Element x y z (fractional)
1 Er 0.4515 0.7261 0.0589
2 Er 0.5485 0.2739 0.9411
3 Er 0.6201 0.2028 0.3560
4 Er 0.1201 0.3560 0.2028
5 Er 0.3799 0.7972 0.6440
6 Er 0.9515 0.0589 0.7261
7 Er 0.0485 0.9411 0.2739
8 Er 0.8799 0.6440 0.7972
9 In 0.7500 0.6259 0.3741
10 In 0.2500 0.3741 0.6259
11 Mn 0.2500 0.9992 0.0008
12 Mn 0.7500 0.0008 0.9992

Output
**Formation enthalpy at 0 K**: -0.122 eV/atom